Computed, not measured: a relaxed structure of AcMgAl2Hg2 at the GGA-PBE level of DFT. Values from VASP.

## Properties
Formation enthalpy at 0 K   -299 meV/atom

The structure in Quantum ESPRESSO input format:
```
&SYSTEM
  ibrav = 0, nat = 6, ntyp = 4
/
ATOMIC_SPECIES
Ac 227.00 Ac.upf
Mg 24.30 Mg.upf
Al 26.98 Al.upf
Hg 200.59 Hg.upf
CELL_PARAMETERS angstrom
4.664 0.000 0.000
-2.332 4.039 0.000
0.000 0.000 7.623
ATOMIC_POSITIONS crystal
Ac 0.000 0.000 0.000
Mg 0.000 0.000 0.500
Al 0.333 0.667 0.284
Al 0.667 0.333 0.716
Hg 0.333 0.667 0.702
Hg 0.667 0.333 0.298
```

---

Computed, not measured: a relaxed structure of CeSnTe at the GGA-PBE level of DFT. Values from VASP.

## Properties
ΔE_f (raw)   -1.8 eV/f.u.

The structure in Quantum ESPRESSO input format:
```
&SYSTEM
  ibrav = 0, nat = 9, ntyp = 3
/
ATOMIC_SPECIES
Ce 140.12 Ce.upf
Sn 118.71 Sn.upf
Te 127.60 Te.upf
CELL_PARAMETERS angstrom
8.075 0.000 0.000
-4.038 6.993 0.000
0.000 0.000 4.836
ATOMIC_POSITIONS crystal
Ce 0.000 0.000 0.000
Ce 0.333 0.667 0.500
Ce 0.667 0.333 0.500
Sn 0.000 0.231 0.500
Sn 0.231 0.000 0.500
Sn 0.769 0.769 0.500
Te 0.000 0.595 0.000
Te 0.405 0.405 0.000
Te 0.595 0.000 0.000
```

---

- Number 1 is which compound?
  AcMgAl2Hg2